<i>
Below is crystalline PmNd3Pt at its relaxed geometry, with properties calculated at the PBE level.

Cell: 3.881 6.525 13.006 Å, 86.10 81.42 72.70°
Element x y z (fractional)
Nd 0.449 0.948 0.153
Nd 0.989 0.108 0.914
Nd 0.428 0.625 0.519
Nd 0.764 0.717 0.756
Pt 0.443 0.336 0.778
Nd 0.785 0.043 0.388
Pt 0.767 0.335 0.131
Pm 0.110 0.498 0.282
Pm 0.223 0.558 0.996
Nd 0.103 0.170 0.624

N(E_F): 1.246 states/eV/atom
symmetry: Cm, No. 8
total moment: 0.00 μB per atom

***

<ii>
Below is crystalline PmNd3Pt at its relaxed geometry, with properties calculated at the PBE level.

Cell: 7.248 8.379 10.595 Å, 107.41 90.00 90.00°
Element x y z (fractional)
Nd 0.000 0.228 0.133
Pm 0.477 0.311 0.234
Nd 0.721 0.452 0.985
Nd 0.500 0.228 0.633
Pm 0.523 0.689 0.766
Nd 0.000 0.772 0.867
Nd 0.779 0.452 0.485
Pt 0.231 0.921 0.103
Pm 0.023 0.311 0.734
Nd 0.639 0.917 0.107
Pt 0.269 0.921 0.603
Nd 0.139 0.083 0.393
Pt 0.769 0.079 0.897
Nd 0.861 0.917 0.607
Nd 0.361 0.083 0.893
Pt 0.731 0.079 0.397
Nd 0.500 0.772 0.367
Pm 0.977 0.689 0.266
Nd 0.221 0.548 0.515
Nd 0.279 0.548 0.015

N(E_F): 0.982 states/eV/atom
symmetry: P2_1/c, No. 14
total moment: 0.00 μB per atom

***

In order of decreasing stability: <i>, <ii>.

***

<i>
Below is crystalline PmNdPu at its relaxed geometry, with properties calculated at the PBE level.

Cell: 3.603 3.603 8.703 Å, 90.00 90.00 120.00°
Element x y z (fractional)
Nd 0.000 0.000 0.006
Pm 0.333 0.667 0.660
Pu 0.667 0.333 0.334

N(E_F): 2.906 states/eV/atom
symmetry: P3m1, No. 156
total moment: 2.10 μB per atom

***

<ii>
Below is crystalline PmNdPu at its relaxed geometry, with properties calculated at the PBE level.

Cell: 8.955 8.955 9.417 Å, 89.08 89.08 156.45°
Element x y z (fractional)
Pu 0.235 0.235 0.072
Nd 0.795 0.795 0.332
Pu 0.765 0.765 0.928
Pm 0.847 0.153 0.000
Nd 0.205 0.205 0.668
Pm 0.153 0.847 0.000

N(E_F): 2.184 states/eV/atom
symmetry: C2/m, No. 12
total moment: 0.23 μB per atom

***

In order of decreasing stability: <i>, <ii>.

***

<i>
Below is crystalline Pm2NdPu at its relaxed geometry, with properties calculated at the PBE level.

Cell: 5.085 5.076 5.076 Å, 90.00 90.00 90.00°
Element x y z (fractional)
Pm 0.000 0.500 0.000
Nd 0.500 0.500 0.500
Pu 0.500 0.000 0.000
Pm 0.000 0.000 0.500

N(E_F): 4.086 states/eV/atom
symmetry: P4/mmm, No. 123
total moment: 1.59 μB per atom

***

<ii>
Below is crystalline Pm2NdPu at its relaxed geometry, with properties calculated at the PBE level.

Cell: 3.579 3.579 10.271 Å, 90.00 90.00 90.00°
Element x y z (fractional)
Pu 0.500 0.500 0.000
Pm 0.000 0.000 0.240
Pm 0.000 0.000 0.760
Nd 0.500 0.500 0.500

N(E_F): 2.383 states/eV/atom
symmetry: P4/mmm, No. 123
total moment: 1.60 μB per atom

***

In order of decreasing stability: <ii>, <i>.

***

<i>
Below is crystalline PmNdRh2 at its relaxed geometry, with properties calculated at the PBE level.

Cell: 3.586 4.954 4.954 Å, 90.00 90.00 90.00°
Element x y z (fractional)
Pm 0.500 0.500 0.500
Rh 0.000 0.500 0.000
Nd 0.500 0.000 0.000
Rh 0.000 0.000 0.500

N(E_F): 0.815 states/eV/atom
symmetry: P4/mmm, No. 123
total moment: 0.00 μB per atom

***

<ii>
Below is crystalline PmNdRh2 at its relaxed geometry, with properties calculated at the PBE level.

Cell: 3.921 4.263 5.815 Å, 90.00 109.70 90.00°
Element x y z (fractional)
Nd 0.441 0.500 0.421
Rh 0.998 0.000 0.535
Rh 0.168 0.500 0.875
Pm 0.723 0.000 0.986

N(E_F): 0.455 states/eV/atom
symmetry: Amm2, No. 38
total moment: 0.00 μB per atom

***

In order of decreasing stability: <ii>, <i>.

***

<i>
Below is crystalline PmNdRh at its relaxed geometry, with properties calculated at the PBE level.

Cell: 3.554 3.554 7.038 Å, 104.63 104.63 90.00°
Element x y z (fractional)
Pm 0.294 0.294 0.587
Rh 0.668 0.668 0.336
Nd 0.038 0.038 0.077

N(E_F): 1.140 states/eV/atom
symmetry: I4mm, No. 107
total moment: 0.00 μB per atom

***

<ii>
Below is crystalline PmNdRh at its relaxed geometry, with properties calculated at the PBE level.

Cell: 4.212 6.034 14.575 Å, 90.00 90.00 90.00°
Element x y z (fractional)
Pm 0.000 0.114 0.589
Rh 0.000 0.866 0.749
Nd 0.000 0.884 0.337
Pm 0.500 0.386 0.411
Nd 0.500 0.116 0.837
Rh 0.500 0.134 0.249
Rh 0.000 0.366 0.751
Nd 0.500 0.616 0.663
Nd 0.000 0.384 0.163
Pm 0.000 0.614 0.911
Rh 0.500 0.634 0.251
Pm 0.500 0.886 0.089

N(E_F): 1.183 states/eV/atom
symmetry: Pnma, No. 62
total moment: 0.05 μB per atom

***

In order of decreasing stability: <i>, <ii>.

***

<i>
Below is crystalline PmNdRh at its relaxed geometry, with properties calculated at the PBE level.

Cell: 7.540 7.540 9.713 Å, 90.00 90.00 120.00°
Element x y z (fractional)
Pm 0.994 0.595 0.250
Rh 0.667 0.333 0.011
Nd 0.000 0.267 0.500
Rh 0.000 0.000 0.250
Pm 0.400 0.405 0.750
Pm 0.600 0.006 0.250
Rh 0.333 0.667 0.989
Rh 0.000 0.000 0.750
Pm 0.595 0.994 0.750
Nd 0.733 0.733 0.500
Rh 0.333 0.667 0.511
Nd 0.733 0.733 0.000
Pm 0.006 0.600 0.750
Nd 0.267 0.000 0.500
Pm 0.405 0.400 0.250
Nd 0.267 0.000 0.000
Rh 0.667 0.333 0.489
Nd 0.000 0.267 0.000

N(E_F): 1.096 states/eV/atom
symmetry: P-62c, No. 190
total moment: 0.00 μB per atom

***

<ii>
Below is crystalline PmNdRh at its relaxed geometry, with properties calculated at the PBE level.

Cell: 6.391 4.121 4.121 Å, 120.00 90.00 90.00°
Element x y z (fractional)
Nd 0.761 0.667 0.333
Rh 0.002 0.000 0.000
Pm 0.238 0.333 0.667

N(E_F): 0.958 states/eV/atom
symmetry: P3m1, No. 156
total moment: 0.00 μB per atom

***

<iii>
Below is crystalline PmNdRh at its relaxed geometry, with properties calculated at the PBE level.

Cell: 4.937 4.937 4.937 Å, 60.00 60.00 60.00°
Element x y z (fractional)
Pm 0.500 0.500 0.500
Rh 0.250 0.250 0.250
Nd 0.000 0.000 0.000

N(E_F): 0.947 states/eV/atom
symmetry: F-43m, No. 216
total moment: 0.00 μB per atom

***

In order of decreasing stability: <i>, <iii>, <ii>.